Arrangement one

ScTaP2: relaxed, PBE.

a b c (Å): 3.2737 3.1594 6.6619
angles (deg): 72.56 90.00 90.00
Sites, in units of the cell vectors:
1 Sc 0.5000 0.2500 0.2500
2 P 0.0000 0.4049 0.5301
3 P 0.0000 0.0951 0.9699
4 Ta 0.5000 0.7500 0.7500

Properties
- D(E_F) (states/eV per cell) = 1.0



Arrangement two

ScTaP2: relaxed, PBE.

a b c (Å): 4.7372 3.4482 4.7904
angles (deg): 68.96 90.00 90.00
Sites, in units of the cell vectors:
1 Ta 0.5000 0.8731 0.8782
2 P 0.0000 0.8743 0.8774
3 P 0.5000 0.1639 0.2979
4 Sc 0.0000 0.5887 0.4465

Properties
- D(E_F) (states/eV per cell) = 0.3



Arrangement three

ScTaP2: relaxed, PBE.

a b c (Å): 3.6260 3.6260 6.3891
angles (deg): 73.54 73.54 59.96
Sites, in units of the cell vectors:
1 P 0.9969 0.9969 0.0092
2 P 0.5031 0.5031 0.4908
3 Sc 0.7500 0.7500 0.7500
4 Ta 0.2500 0.2500 0.2500

Properties
- D(E_F) (states/eV per cell) = 1.6



Which of them is the least stable? Correct choice: arrangement one.



Arrangement one

Tb2ScP3: relaxed, PBE.

a b c (Å): 3.9430 5.5966 6.8208
angles (deg): 114.22 106.80 90.00
Sites, in units of the cell vectors:
1 P 0.0000 0.0000 0.0000
2 P 0.6580 0.6580 0.3160
3 P 0.3420 0.3420 0.6840
4 Tb 0.3320 0.8320 0.6640
5 Tb 0.6680 0.1680 0.3360
6 Sc 0.0000 0.5000 0.0000

Properties
- D(E_F) (states/eV per cell) = 1.0



Arrangement two

Tb2ScP3: relaxed, PBE.

a b c (Å): 3.9549 3.9549 8.8020
angles (deg): 102.98 102.98 90.00
Sites, in units of the cell vectors:
1 Sc 0.4341 0.4359 0.8740
2 P 0.9341 0.9359 0.8740
3 P 0.2722 0.2735 0.5499
4 P 0.5963 0.5976 0.1980
5 Tb 0.7685 0.7698 0.5425
6 Tb 0.1000 0.1013 0.2054

Properties
- D(E_F) (states/eV per cell) = 0.7



Which of them is the least stable? Correct choice: arrangement two.



Arrangement one

ScTcP3: relaxed, PBE.

a b c (Å): 4.8494 4.8494 4.8494
angles (deg): 90.00 90.00 90.00
Site moments in Bohr magnetons follow the coordinates.
Sites, in units of the cell vectors:
1 P 0.5000 0.0000 0.0000  -0.07
2 P 0.0000 0.5000 0.0000  -0.10
3 P 0.0000 0.0000 0.5000  -0.14
4 Sc 0.0000 0.0000 0.0000  0.04
5 Tc 0.5000 0.5000 0.5000  3.54

Properties
- D(E_F) (states/eV per cell) = 4.5



Arrangement two

ScTcP3: relaxed, PBE.

a b c (Å): 4.6208 4.6208 4.6208
angles (deg): 90.00 90.00 90.00
Sites, in units of the cell vectors:
1 Tc 0.0000 0.0000 0.0000
2 P 0.5000 0.0000 0.0000
3 P 0.0000 0.0000 0.5000
4 P 0.0000 0.5000 0.0000
5 Sc 0.5000 0.5000 0.5000

Properties
- D(E_F) (states/eV per cell) = 6.5



Which of them is the least stable? Correct choice: arrangement one.



Arrangement one

Sc3TcP: relaxed, PBE.

a b c (Å): 4.7972 4.7972 4.7972
angles (deg): 90.00 90.00 90.00
Sites, in units of the cell vectors:
1 Sc 0.0000 0.5000 0.0000
2 Sc 0.0000 0.0000 0.5000
3 Sc 0.5000 0.0000 0.0000
4 Tc 0.5000 0.5000 0.5000
5 P 0.0000 0.0000 0.0000

Properties
- D(E_F) (states/eV per cell) = 8.9



Arrangement two

Sc3TcP: relaxed, PBE.

a b c (Å): 4.9069 4.9069 4.9069
angles (deg): 90.00 90.00 90.00
Sites, in units of the cell vectors:
1 Tc 0.0000 0.0000 0.0000
2 Sc 0.0000 0.0000 0.5000
3 Sc 0.0000 0.5000 0.0000
4 Sc 0.5000 0.0000 0.0000
5 P 0.5000 0.5000 0.5000

Properties
- D(E_F) (states/eV per cell) = 4.8



Which of them is the least stable? Correct choice: arrangement two.



Arrangement one

Sc2Tc2P: relaxed, PBE.

a b c (Å): 4.0226 4.0226 6.5814
angles (deg): 72.21 72.21 90.00
Sites, in units of the cell vectors:
1 P 0.0000 0.0000 0.0000
2 Tc 0.5953 0.5953 0.8094
3 Tc 0.4047 0.4047 0.1906
4 Sc 0.2500 0.7500 0.5000
5 Sc 0.7500 0.2500 0.5000

Properties
- D(E_F) (states/eV per cell) = 7.0



Arrangement two

Sc2Tc2P: relaxed, PBE.

a b c (Å): 6.2817 6.2817 4.3410
angles (deg): 90.00 90.00 90.00
Sites, in units of the cell vectors:
1 P 0.0000 0.0000 0.0000
2 P 0.5000 0.5000 0.0000
3 Tc 0.3506 0.8506 0.0000
4 Tc 0.6494 0.1494 0.0000
5 Tc 0.8506 0.6494 0.0000
6 Tc 0.1494 0.3506 0.0000
7 Sc 0.8295 0.3295 0.5000
8 Sc 0.6705 0.8295 0.5000
9 Sc 0.1705 0.6705 0.5000
10 Sc 0.3295 0.1705 0.5000

Properties
- D(E_F) (states/eV per cell) = 7.3



Which of them is the least stable? Correct choice: arrangement one.



Arrangement one

Sc4TeP: relaxed, PBE.

a b c (Å): 6.2985 6.8878 7.8861
angles (deg): 108.20 105.27 108.14
Sites, in units of the cell vectors:
1 Sc 0.5700 0.2952 0.1141
2 Sc 0.3075 0.8906 0.5730
3 Sc 0.0440 0.8189 0.1141
4 Sc 0.7655 0.6824 0.5730
5 Sc 0.9560 0.1811 0.8859
6 Sc 0.4300 0.7048 0.8859
7 Sc 0.6925 0.1094 0.4270
8 Sc 0.2345 0.3176 0.4270
9 P 0.1829 0.9329 0.8657
10 P 0.8171 0.0671 0.1343
11 Te 0.3591 0.6091 0.2182
12 Te 0.6409 0.3909 0.7818

Properties
- D(E_F) (states/eV per cell) = 11.9



Arrangement two

Sc4TeP: relaxed, PBE.

a b c (Å): 5.7247 5.7247 5.7247
angles (deg): 60.00 60.00 60.00
Sites, in units of the cell vectors:
1 Te 0.7500 0.7500 0.7500
2 Sc 0.8763 0.3746 0.3746
3 Sc 0.3746 0.8763 0.3746
4 Sc 0.3746 0.3746 0.3746
5 Sc 0.3746 0.3746 0.8763
6 P 0.0000 0.0000 0.0000

Properties
- D(E_F) (states/eV per cell) = 7.2



Which of them is the least stable? Correct choice: arrangement two.